CoCuOs | PBE | relaxed

Cell and atoms, written as POSCAR:
```
CoCuOs
1.0
2.641 0.000 0.000
0.000 2.641 0.000
0.000 0.000 10.720
Co Cu Os
2 2 2
direct
0.000 0.000 0.000
0.500 0.500 0.500
0.000 0.000 0.666
0.500 0.500 0.166
0.000 0.000 0.347
0.500 0.500 0.847
```

Output
SG: No. 107
total magnetic moment: 0.32 μB/f.u.
ΔH_f (0 K): 245 meV/atom
offset from the most stable computed form: 0.016 eV per atom
DOS(E_F): 1.0121 states/eV/atom
final energy: -7.23 eV/atom